A relaxed CoSeBr2Cl crystal, computed with PBE-GGA.

Cell lengths 5.1685, 5.1685, 5.1771 Å; angles 90.00, 90.00, 90.00 degrees
Space group P4/mmm (No. 123)
One atom of each set of equivalent atoms:
Co (0.0000, 0.0000, 0.0000) x1
Se (0.5000, 0.5000, 0.0000) x1
Br (0.0000, 0.5000, 0.5000) x2
Cl (0.5000, 0.5000, 0.5000) x1

Computed properties:
Relative energy among the computed polymorphs in eV/f.u.: 4.145
Uncorrected formation energy in eV per atom: 1.109
Crystal system: tetragonal

=====

A relaxed Rb2ReOsI6 crystal, computed with PBE-GGA.

Cell lengths 8.0070, 8.0070, 11.2855 Å; angles 90.00, 90.00, 90.00 degrees
Space group I4/mmm (No. 139)
One atom of each set of equivalent atoms:
Rb (0.0000, 0.5000, 0.2500) x4
Re (0.0000, 0.0000, 0.0000) x2
Os (0.0000, 0.0000, 0.5000) x2
I (0.0000, 0.0000, 0.2532) x4
I (0.2468, 0.2468, 0.5000) x8

Computed properties:
Uncorrected formation energy in eV per atom: -0.023
Crystal system: tetragonal

=====

A relaxed Pr8CoAg2 crystal, computed with PBE-GGA.

Cell lengths 7.7488, 16.3660, 6.3406 Å; angles 90.00, 122.30, 90.00 degrees
Space group Cm (No. 8)
One atom of each set of equivalent atoms:
Pr (0.0000, 0.0000, 0.0000) x2
Pr (0.0159, 0.1131, 0.4907) x4
Pr (0.2496, 0.3035, 0.7971) x4
Pr (0.4631, 0.0000, 0.6100) x2
Pr (0.4792, 0.1125, 0.1228) x4
Co (0.2429, 0.5000, 0.4998) x2
Ag (0.2468, 0.2172, 0.3018) x4

Computed properties:
Relative energy among the computed polymorphs in eV/f.u.: 0.205
Crystal system: monoclinic
DFT formation energy in eV per atom: -0.039

=====

A relaxed Y2Ga3NiIr4 crystal, computed with PBE-GGA.

Cell lengths 4.0701, 4.0701, 10.7510 Å; angles 90.00, 90.00, 90.00 degrees
Space group P-4m2 (No. 115)
One atom of each set of equivalent atoms:
Y (0.0000, 0.5000, 0.2492) x2
Ga (0.0000, 0.0000, 0.0000) x1
Ga (0.0000, 0.5000, 0.6352) x2
Ni (0.5000, 0.5000, 0.0000) x1
Ir (0.0000, 0.0000, 0.5000) x1
Ir (0.0000, 0.5000, 0.8624) x2
Ir (0.5000, 0.5000, 0.5000) x1

Computed properties:
Crystal system: tetragonal
DFT formation energy in eV per atom: -0.604

=====

A relaxed BeNb2Ni2 crystal, computed with PBE-GGA.

Cell lengths 3.1252, 3.1252, 14.8545 Å; angles 90.00, 90.00, 90.00 degrees
Space group I4/mmm (No. 139)
One atom of each set of equivalent atoms:
Be (0.0000, 0.0000, 0.0000) x2
Nb (0.0000, 0.0000, 0.3927) x4
Ni (0.0000, 0.5000, 0.2500) x4

Computed properties:
Relative energy among the computed polymorphs in eV/f.u.: 1.729
Crystal system: tetragonal
DFT formation energy in eV per atom: 0.277

=====

A relaxed AlB2F crystal, computed with PBE-GGA.

Cell lengths 5.5344, 5.5344, 5.5344 Å; angles 90.00, 90.00, 90.00 degrees
Space group Fm-3m (No. 225)
One atom of each set of equivalent atoms:
Al (0.0000, 0.0000, 0.0000) x4
B (0.2500, 0.2500, 0.2500) x8
F (0.0000, 0.0000, 0.5000) x4

Computed properties:
Relative energy among the computed polymorphs in eV/f.u.: 3.919
Uncorrected formation energy in eV per atom: 1.044
Crystal system: cubic

=====

A relaxed La2Se crystal, computed with PBE-GGA.

Cell lengths 11.5803, 4.0601, 8.8670 Å; angles 90.00, 119.04, 90.00 degrees
Space group C2/m (No. 12)
One atom of each set of equivalent atoms:
La (0.0756, 0.0000, 0.3616) x4
La (0.1580, 0.5000, 0.0570) x4
Se (0.1614, 0.5000, 0.6732) x4

Computed properties:
Uncorrected formation energy in eV per atom: -1.123
Crystal system: monoclinic

=====

A relaxed V2GePd crystal, computed with PBE-GGA.

Cell lengths 6.9287, 6.9287, 5.1254 Å; angles 90.00, 90.00, 90.00 degrees
Space group I-42d (No. 122)
One atom of each set of equivalent atoms:
V (0.2443, 0.2500, 0.1250) x8
Ge (0.0000, 0.0000, 0.0000) x4
Pd (0.0000, 0.0000, 0.5000) x4

Computed properties:
Crystal system: tetragonal
DFT formation energy in eV per atom: 0.167